{"formula": "LiW2O6", "functional": "SCAN", "state": "single point on PBEsol structure", "lattice": [[-3.721, 3.722, 3.739], [3.721, -3.722, 3.739], [3.721, 3.722, -3.739]], "species": ["Li", "Li", "W", "W", "W", "W", "O", "O", "O", "O", "O", "O", "O", "O", "O", "O", "O", "O"], "frac_coords": [[0.000, 0.000, 0.000], [0.000, 0.500, 0.500], [0.000, 0.000, 0.500], [0.000, 0.500, 0.000], [0.500, 0.000, 0.000], [0.500, 0.500, 0.500], [0.004, 0.203, 0.800], [0.209, 0.302, 0.511], [0.209, 0.698, 0.907], [0.289, 0.580, 0.291], [0.289, 0.998, 0.709], [0.403, 0.203, 0.200], [0.597, 0.797, 0.800], [0.711, 0.002, 0.291], [0.711, 0.420, 0.709], [0.791, 0.302, 0.093], [0.791, 0.698, 0.489], [0.996, 0.797, 0.200]]}


{"formula": "Li2W2O7", "functional": "SCAN", "state": "single point on PBEsol structure", "lattice": [[5.062, 0.000, 0.000], [0.576, 7.026, 0.000], [1.763, 2.763, 7.639]], "species": ["Li", "Li", "Li", "Li", "W", "W", "W", "W", "O", "O", "O", "O", "O", "O", "O", "O", "O", "O", "O", "O", "O", "O"], "frac_coords": [[0.141, 0.000, 0.270], [0.307, 0.741, 0.901], [0.693, 0.259, 0.099], [0.859, 0.000, 0.730], [0.188, 0.455, 0.334], [0.302, 0.249, 0.823], [0.698, 0.751, 0.177], [0.812, 0.545, 0.666], [0.050, 0.608, 0.129], [0.081, 0.213, 0.367], [0.178, 0.022, 0.819], [0.179, 0.415, 0.577], [0.351, 0.750, 0.300], [0.357, 0.185, 0.040], [0.458, 0.560, 0.767], [0.542, 0.440, 0.233], [0.643, 0.815, 0.960], [0.649, 0.250, 0.700], [0.821, 0.585, 0.423], [0.822, 0.978, 0.181], [0.919, 0.787, 0.633], [0.950, 0.392, 0.871]]}


{"formula": "Li2WO4", "functional": "SCAN", "state": "single point on PBEsol structure", "lattice": [[4.879, -2.956, 0.000], [4.879, 2.956, 0.000], [-0.110, 0.000, 4.991]], "species": ["Li", "Li", "Li", "Li", "W", "W", "O", "O", "O", "O", "O", "O", "O", "O"], "frac_coords": [[0.050, 0.347, 0.259], [0.347, 0.050, 0.759], [0.653, 0.950, 0.241], [0.950, 0.653, 0.741], [0.329, 0.671, 0.250], [0.671, 0.329, 0.750], [0.013, 0.729, 0.376], [0.271, 0.987, 0.124], [0.292, 0.494, 0.934], [0.494, 0.292, 0.434], [0.506, 0.708, 0.566], [0.708, 0.506, 0.066], [0.729, 0.013, 0.876], [0.987, 0.271, 0.624]]}


{"formula": "Li8WO6", "functional": "SCAN", "state": "single point on PBEsol structure", "lattice": [[2.691, 1.554, 5.079], [-2.691, 1.554, 5.079], [0.000, -3.108, 5.079]], "species": ["Li", "Li", "Li", "Li", "Li", "Li", "Li", "Li", "W", "O", "O", "O", "O", "O", "O"], "frac_coords": [[0.009, 0.736, 0.397], [0.158, 0.158, 0.158], [0.264, 0.603, 0.991], [0.397, 0.009, 0.736], [0.603, 0.991, 0.264], [0.736, 0.397, 0.009], [0.842, 0.842, 0.842], [0.991, 0.264, 0.603], [0.500, 0.500, 0.500], [0.116, 0.410, 0.734], [0.266, 0.884, 0.590], [0.410, 0.734, 0.116], [0.590, 0.266, 0.884], [0.734, 0.116, 0.410], [0.884, 0.590, 0.266]]}


{"formula": "Li2WO4", "functional": "SCAN", "state": "single point on PBEsol structure", "lattice": [[-5.957, 5.957, 4.202], [5.957, -5.957, 4.202], [5.957, 5.957, -4.202]], "species": ["Li", "Li", "Li", "Li", "Li", "Li", "Li", "Li", "Li", "Li", "Li", "Li", "Li", "Li", "Li", "Li", "W", "W", "W", "W", "W", "W", "W", "W", "O", "O", "O", "O", "O", "O", "O", "O", "O", "O", "O", "O", "O", "O", "O", "O", "O", "O", "O", "O", "O", "O", "O", "O", "O", "O", "O", "O", "O", "O", "O", "O"], "frac_coords": [[0.000, 0.131, 0.131], [0.000, 0.869, 0.869], [0.131, 0.000, 0.631], [0.131, 0.500, 0.131], [0.243, 0.493, 0.487], [0.243, 0.757, 0.750], [0.493, 0.243, 0.987], [0.493, 0.507, 0.250], [0.500, 0.131, 0.631], [0.500, 0.869, 0.369], [0.507, 0.493, 0.750], [0.507, 0.757, 0.013], [0.757, 0.243, 0.250], [0.757, 0.507, 0.513], [0.869, 0.000, 0.369], [0.869, 0.500, 0.869], [0.108, 0.722, 0.386], [0.164, 0.278, 0.886], [0.278, 0.164, 0.386], [0.278, 0.892, 0.114], [0.722, 0.108, 0.886], [0.722, 0.836, 0.614], [0.836, 0.722, 0.114], [0.892, 0.278, 0.614], [0.014, 0.656, 0.142], [0.014, 0.871, 0.358], [0.115, 0.489, 0.626], [0.127, 0.224, 0.364], [0.127, 0.763, 0.903], [0.129, 0.986, 0.142], [0.224, 0.127, 0.864], [0.224, 0.360, 0.097], [0.237, 0.640, 0.364], [0.237, 0.873, 0.597], [0.344, 0.986, 0.358], [0.360, 0.224, 0.597], [0.360, 0.763, 0.136], [0.362, 0.489, 0.874], [0.489, 0.115, 0.126], [0.489, 0.362, 0.374], [0.511, 0.638, 0.626], [0.511, 0.885, 0.874], [0.638, 0.511, 0.126], [0.640, 0.237, 0.864], [0.640, 0.776, 0.403], [0.656, 0.014, 0.642], [0.763, 0.127, 0.403], [0.763, 0.360, 0.636], [0.776, 0.640, 0.903], [0.776, 0.873, 0.136], [0.871, 0.014, 0.858], [0.873, 0.237, 0.097], [0.873, 0.776, 0.636], [0.885, 0.511, 0.374], [0.986, 0.129, 0.642], [0.986, 0.344, 0.858]]}


{"formula": "Li2Zn2W2O9", "functional": "SCAN", "state": "single point on PBEsol structure", "lattice": [[5.134, 0.000, 0.000], [-2.567, 4.446, 0.000], [0.000, 0.000, 14.102]], "species": ["Li", "Li", "Li", "Li", "Zn", "Zn", "Zn", "Zn", "W", "W", "W", "W", "O", "O", "O", "O", "O", "O", "O", "O", "O", "O", "O", "O", "O", "O", "O", "O", "O", "O"], "frac_coords": [[0.333, 0.667, 0.015], [0.333, 0.667, 0.515], [0.667, 0.333, 0.485], [0.667, 0.333, 0.985], [0.333, 0.667, 0.305], [0.333, 0.667, 0.805], [0.667, 0.333, 0.195], [0.667, 0.333, 0.695], [0.000, 0.000, 0.140], [0.000, 0.000, 0.360], [0.000, 0.000, 0.640], [0.000, 0.000, 0.860], [0.000, 0.282, 0.250], [0.000, 0.718, 0.750], [0.026, 0.333, 0.913], [0.026, 0.694, 0.413], [0.282, 0.000, 0.250], [0.282, 0.282, 0.750], [0.306, 0.333, 0.413], [0.306, 0.974, 0.913], [0.333, 0.026, 0.587], [0.333, 0.306, 0.087], [0.667, 0.694, 0.913], [0.667, 0.974, 0.413], [0.694, 0.026, 0.087], [0.694, 0.667, 0.587], [0.718, 0.000, 0.750], [0.718, 0.718, 0.250], [0.974, 0.306, 0.587], [0.974, 0.667, 0.087]]}


{"formula": "Li4Y3ZrO8", "functional": "SCAN", "state": "single point on PBEsol structure", "lattice": [[3.125, -4.731, 0.000], [3.125, 4.731, 0.000], [0.000, 0.000, 6.260]], "species": ["Li", "Li", "Li", "Li", "Y", "Y", "Y", "Zr", "O", "O", "O", "O", "O", "O", "O", "O"], "frac_coords": [[0.000, 0.000, 0.000], [0.000, 0.500, 0.247], [0.500, 0.000, 0.753], [0.500, 0.500, 0.500], [0.000, 0.500, 0.749], [0.500, 0.000, 0.251], [0.500, 0.500, 0.000], [0.000, 0.000, 0.500], [0.230, 0.770, 0.500], [0.239, 0.250, 0.741], [0.250, 0.239, 0.259], [0.259, 0.741, 0.000], [0.741, 0.259, 0.000], [0.750, 0.761, 0.259], [0.761, 0.750, 0.741], [0.770, 0.230, 0.500]]}


{"formula": "Li6ZnO4", "functional": "SCAN", "state": "single point on PBEsol structure", "lattice": [[6.489, 0.000, 0.000], [0.000, 6.489, 0.000], [0.000, 0.000, 4.628]], "species": ["Li", "Li", "Li", "Li", "Li", "Li", "Li", "Li", "Li", "Li", "Li", "Li", "Zn", "Zn", "O", "O", "O", "O", "O", "O", "O", "O"], "frac_coords": [[0.032, 0.532, 0.250], [0.032, 0.968, 0.250], [0.250, 0.250, 0.205], [0.250, 0.250, 0.705], [0.468, 0.532, 0.250], [0.468, 0.968, 0.250], [0.532, 0.032, 0.750], [0.532, 0.468, 0.750], [0.750, 0.750, 0.295], [0.750, 0.750, 0.795], [0.968, 0.032, 0.750], [0.968, 0.468, 0.750], [0.250, 0.750, 0.750], [0.750, 0.250, 0.250], [0.014, 0.250, 0.466], [0.250, 0.014, 0.966], [0.250, 0.486, 0.966], [0.486, 0.250, 0.466], [0.514, 0.750, 0.534], [0.750, 0.514, 0.034], [0.750, 0.986, 0.034], [0.986, 0.750, 0.534]]}


{"formula": "Li4Zr3O8", "functional": "SCAN", "state": "single point on PBEsol structure", "lattice": [[5.337, 0.000, 0.000], [0.000, 6.133, 0.000], [-2.013, 0.000, 9.797]], "species": ["Li", "Li", "Li", "Li", "Li", "Li", "Li", "Li", "Zr", "Zr", "Zr", "Zr", "Zr", "Zr", "O", "O", "O", "O", "O", "O", "O", "O", "O", "O", "O", "O", "O", "O", "O", "O"], "frac_coords": [[0.000, 0.115, 0.250], [0.000, 0.885, 0.750], [0.264, 0.371, 0.498], [0.264, 0.629, 0.998], [0.500, 0.164, 0.750], [0.500, 0.836, 0.250], [0.736, 0.371, 0.002], [0.736, 0.629, 0.502], [0.000, 0.400, 0.750], [0.000, 0.600, 0.250], [0.268, 0.139, 0.024], [0.268, 0.861, 0.524], [0.732, 0.139, 0.476], [0.732, 0.861, 0.976], [0.105, 0.372, 0.126], [0.105, 0.628, 0.626], [0.115, 0.130, 0.622], [0.115, 0.870, 0.122], [0.347, 0.360, 0.885], [0.347, 0.640, 0.385], [0.367, 0.099, 0.387], [0.367, 0.901, 0.887], [0.633, 0.099, 0.113], [0.633, 0.901, 0.613], [0.653, 0.360, 0.615], [0.653, 0.640, 0.115], [0.885, 0.130, 0.878], [0.885, 0.870, 0.378], [0.895, 0.372, 0.374], [0.895, 0.628, 0.874]]}


{"formula": "Li8ZrO6", "functional": "SCAN", "state": "single point on PBEsol structure", "lattice": [[5.647, 0.000, 0.000], [-2.824, 4.891, 0.000], [0.000, 0.000, 10.744]], "species": ["Li", "Li", "Li", "Li", "Li", "Li", "Li", "Li", "Li", "Li", "Li", "Li", "Li", "Li", "Li", "Li", "Zr", "Zr", "O", "O", "O", "O", "O", "O", "O", "O", "O", "O", "O", "O"], "frac_coords": [[0.000, 0.317, 0.000], [0.000, 0.417, 0.643], [0.000, 0.583, 0.143], [0.000, 0.683, 0.500], [0.317, 0.000, 0.000], [0.317, 0.317, 0.500], [0.333, 0.667, 0.364], [0.333, 0.667, 0.864], [0.417, 0.000, 0.643], [0.417, 0.417, 0.143], [0.583, 0.000, 0.143], [0.583, 0.583, 0.643], [0.667, 0.333, 0.364], [0.667, 0.333, 0.864], [0.683, 0.000, 0.500], [0.683, 0.683, 0.000], [0.000, 0.000, 0.272], [0.000, 0.000, 0.772], [0.000, 0.000, 0.087], [0.000, 0.000, 0.587], [0.000, 0.334, 0.820], [0.000, 0.666, 0.320], [0.333, 0.667, 0.055], [0.333, 0.667, 0.555], [0.334, 0.000, 0.820], [0.334, 0.334, 0.320], [0.666, 0.000, 0.320], [0.666, 0.666, 0.820], [0.667, 0.333, 0.055], [0.667, 0.333, 0.555]]}


{"formula": "Li2ZrO3", "functional": "SCAN", "state": "single point on PBEsol structure", "lattice": [[2.661, -4.510, 0.000], [2.661, 4.510, 0.000], [-1.969, 0.000, 4.985]], "species": ["Li", "Li", "Li", "Li", "Zr", "Zr", "O", "O", "O", "O", "O", "O"], "frac_coords": [[0.076, 0.924, 0.750], [0.243, 0.757, 0.250], [0.757, 0.243, 0.750], [0.924, 0.076, 0.250], [0.409, 0.591, 0.750], [0.591, 0.409, 0.250], [0.000, 0.500, 0.500], [0.192, 0.344, 0.990], [0.344, 0.192, 0.490], [0.500, 0.000, 0.000], [0.656, 0.808, 0.510], [0.808, 0.656, 0.010]]}


{"formula": "LiZr2O4", "functional": "SCAN", "state": "single point on PBEsol structure", "lattice": [[10.635, 0.000, 0.000], [0.000, 6.036, 0.000], [0.000, 0.000, 5.076]], "species": ["Li", "Li", "Li", "Li", "Zr", "Zr", "Zr", "Zr", "Zr", "Zr", "Zr", "Zr", "O", "O", "O", "O", "O", "O", "O", "O", "O", "O", "O", "O", "O", "O", "O", "O"], "frac_coords": [[0.107, 0.250, 0.061], [0.393, 0.750, 0.561], [0.607, 0.250, 0.439], [0.893, 0.750, 0.939], [0.000, 0.000, 0.500], [0.000, 0.500, 0.500], [0.218, 0.750, 0.032], [0.282, 0.250, 0.532], [0.500, 0.000, 0.000], [0.500, 0.500, 0.000], [0.718, 0.750, 0.468], [0.782, 0.250, 0.968], [0.063, 0.750, 0.784], [0.105, 0.250, 0.707], [0.173, 0.016, 0.276], [0.173, 0.484, 0.276], [0.327, 0.516, 0.776], [0.327, 0.984, 0.776], [0.395, 0.750, 0.207], [0.437, 0.250, 0.284], [0.563, 0.750, 0.716], [0.605, 0.250, 0.793], [0.673, 0.016, 0.224], [0.673, 0.484, 0.224], [0.827, 0.516, 0.724], [0.827, 0.984, 0.724], [0.895, 0.750, 0.293], [0.937, 0.250, 0.216]]}


{"formula": "Li4Zr3O8", "functional": "SCAN", "state": "single point on PBEsol structure", "lattice": [[3.022, -4.473, 0.000], [3.022, 4.473, 0.000], [0.000, 0.000, 6.114]], "species": ["Li", "Li", "Li", "Li", "Zr", "Zr", "Zr", "O", "O", "O", "O", "O", "O", "O", "O"], "frac_coords": [[0.000, 0.000, 0.000], [0.000, 0.500, 0.745], [0.500, 0.000, 0.255], [0.500, 0.500, 0.500], [0.000, 0.000, 0.500], [0.000, 0.500, 0.224], [0.500, 0.000, 0.776], [0.218, 0.265, 0.268], [0.233, 0.767, 0.000], [0.240, 0.760, 0.500], [0.265, 0.218, 0.732], [0.735, 0.782, 0.732], [0.760, 0.240, 0.500], [0.767, 0.233, 0.000], [0.782, 0.735, 0.268]]}


{"formula": "Li8ZrO6", "functional": "SCAN", "state": "single point on PBEsol structure", "lattice": [[2.726, 1.574, 5.133], [-2.726, 1.574, 5.133], [0.000, -3.147, 5.133]], "species": ["Li", "Li", "Li", "Li", "Li", "Li", "Li", "Li", "Zr", "O", "O", "O", "O", "O", "O"], "frac_coords": [[0.005, 0.734, 0.396], [0.156, 0.156, 0.156], [0.266, 0.604, 0.995], [0.396, 0.005, 0.734], [0.604, 0.995, 0.266], [0.734, 0.396, 0.005], [0.844, 0.844, 0.844], [0.995, 0.266, 0.604], [0.500, 0.500, 0.500], [0.112, 0.408, 0.736], [0.264, 0.888, 0.592], [0.408, 0.736, 0.112], [0.592, 0.264, 0.888], [0.736, 0.112, 0.408], [0.888, 0.592, 0.264]]}


Calculated total magnetic moment, 0.000 0.000 0.000 2.000 0.000 0.000 0.000 0.000 0.000 0.004 0.000 0.000 0.000 0.000 μB/f.u. (same order as the records).
Calculated volume, 11.51 12.35 10.28 8.50 10.65 10.73 11.57 8.86 10.69 9.89 9.97 11.64 11.02 8.81 A^3/atom (same order as the records).
Calculated E_form (uncorrected), -2271 -2344 -2391 -2024 -2395 -2138 -3070 -1970 -3104 -2346 -3001 -3232 -3075 -2426 meV per atom (same order as the records).